1.
A plane-wave DFT calculation with PBE-GGA was carried out for AcCeCd3 after structural relaxation.

Density of states at the Fermi level   16.91 states/eV per cell
E_form   -235 meV/atom
Space group   Cmcm
Crystal system   orthorhombic
VASP energy   -2.792 eV per atom

Cell: 5.139 3.624 15.522 Å, 96.70 90.00 90.00°
Fractional coordinates of all 10 atoms:
Cd  0.750  0.324  0.648
Cd  0.750  0.624  0.248
Cd  0.250  0.376  0.752
Ce  0.250  0.784  0.568
Cd  0.250  0.676  0.352
Ac  0.750  0.925  0.851
Ce  0.750  0.216  0.432
Cd  0.250  0.476  0.951
Cd  0.750  0.524  0.049
Ac  0.250  0.075  0.149

***

2.
A plane-wave DFT calculation with PBE-GGA was carried out for RbPRu2O after structural relaxation.

Formation energy without anion corrections   0.706 eV/atom
Density of states at the Fermi level   4.64 states/eV per cell
Space group   P4/mmm
Crystal system   tetragonal
VASP energy   -5.271 eV per atom

Cell: 4.127 5.103 4.127 Å, 90.00 90.00 90.00°
Fractional coordinates of all 5 atoms:
Ru  0.500  0.000  0.000
Ru  0.000  0.000  0.500
Rb  0.000  0.500  0.000
O  0.000  0.000  0.000
P  0.500  0.500  0.500

***

3.
A plane-wave DFT calculation with PBE-GGA was carried out for Co2AgSe after structural relaxation.

Formation energy without anion corrections   0.344 eV/atom
Density of states at the Fermi level   3.53 states/eV per cell
Space group   C2/m
Crystal system   monoclinic
VASP energy   -4.793 eV per atom

Cell: 3.695 3.695 5.920 Å, 78.03 78.03 49.39°
Fractional coordinates of all 4 atoms:
Co  0.012  0.012  0.937
Ag  0.250  0.250  0.250
Co  0.488  0.488  0.563
Se  0.750  0.750  0.750

***

4.
A plane-wave DFT calculation with PBE-GGA was carried out for Ta2Be2Al after structural relaxation.

Energy above the lowest structure with this stoichiometry   11.7 meV/atom
Density of states at the Fermi level   2.19 states/eV per cell
E_form   -223 meV/atom
Space group   Cmmm
Crystal system   orthorhombic
VASP energy   -7.203 eV per atom

Cell: 3.463 3.346 6.057 Å, 106.04 90.00 90.00°
Fractional coordinates of all 5 atoms:
Be  0.000  0.798  0.596
Ta  0.500  0.638  0.276
Al  0.000  0.000  0.000
Be  0.000  0.202  0.404
Ta  0.500  0.362  0.724

***

5.
A plane-wave DFT calculation with PBE-GGA was carried out for PrFeCu after structural relaxation.

Density of states at the Fermi level   14.94 states/eV per cell
E_form   55 meV/atom
Space group   Amm2
Crystal system   orthorhombic
VASP energy   -5.725 eV per atom

Cell: 5.285 5.285 8.869 Å, 90.00 90.00 120.41°
Fractional coordinates of all 12 atoms:
Cu  0.998  0.002  0.747
Pr  0.667  0.333  0.313
Fe  0.164  0.836  0.500
Fe  0.672  0.836  0.500
Pr  0.333  0.667  0.811
Pr  0.333  0.667  0.189
Cu  0.998  0.002  0.253
Fe  0.839  0.161  0.000
Cu  0.328  0.163  0.000
Pr  0.667  0.333  0.687
Fe  0.164  0.328  0.500
Cu  0.837  0.672  0.000

***

6.
A plane-wave DFT calculation with PBE-GGA was carried out for LaInRh3Pb after structural relaxation.

Density of states at the Fermi level   6.14 states/eV per cell
E_form   -270 meV/atom
Space group   Cmcm
Crystal system   orthorhombic
VASP energy   -5.842 eV per atom

Cell: 5.624 5.621 9.476 Å, 107.25 90.00 90.00°
Fractional coordinates of all 12 atoms:
Rh  0.500  0.261  0.000
In  0.250  0.395  0.791
Rh  0.500  0.739  0.000
Pb  0.750  0.900  0.800
Rh  0.000  0.261  0.000
La  0.750  0.257  0.514
Rh  0.000  0.739  0.000
Rh  0.750  0.751  0.502
Pb  0.250  0.100  0.200
La  0.250  0.743  0.486
In  0.750  0.605  0.209
Rh  0.250  0.249  0.498

***

7.
A plane-wave DFT calculation with PBE-GGA was carried out for Ba2Cd3In4Au after structural relaxation.

Density of states at the Fermi level   6.03 states/eV per cell
E_form   -361 meV/atom
Space group   P-4m2
Crystal system   tetragonal
VASP energy   -2.443 eV per atom

Cell: 4.882 4.882 12.299 Å, 90.00 90.00 90.00°
Fractional coordinates of all 10 atoms:
Ba  0.000  0.500  0.739
Cd  0.500  0.000  0.859
In  0.000  0.000  0.000
In  0.000  0.500  0.376
Au  0.500  0.500  0.500
In  0.500  0.000  0.624
Cd  0.000  0.000  0.500
Ba  0.500  0.000  0.261
In  0.500  0.500  0.000
Cd  0.000  0.500  0.141

***

8.
A plane-wave DFT calculation with PBE-GGA was carried out for Ba6Y3Cu9O20 after structural relaxation.

Formation energy without anion corrections   -1.823 eV/atom
Density of states at the Fermi level   15.10 states/eV per cell
Space group   P-1
Crystal system   triclinic
VASP energy   -6.217 eV per atom

Cell: 5.503 8.650 12.560 Å, 74.16 77.63 72.72°
Fractional coordinates of all 38 atoms:
Cu  0.211  0.214  0.360
Y  0.334  0.834  0.498
O  0.678  0.166  0.000
Y  0.666  0.166  0.502
O  0.627  0.627  0.620
O  0.947  0.947  0.158
Cu  0.451  0.454  0.640
O  0.461  0.958  0.622
Y  0.000  0.500  0.500
O  0.210  0.707  0.377
O  0.745  0.706  0.849
Ba  0.561  0.061  0.818
Ba  0.238  0.736  0.810
Cu  0.119  0.119  0.643
O  0.645  0.605  0.151
Cu  0.881  0.881  0.357
O  0.373  0.373  0.380
O  0.539  0.042  0.378
Cu  0.000  0.000  0.000
O  0.873  0.372  0.382
Cu  0.549  0.546  0.360
O  0.292  0.294  0.620
O  0.039  0.040  0.381
O  0.961  0.960  0.619
Ba  0.888  0.391  0.810
O  0.255  0.294  0.151
Ba  0.762  0.264  0.190
O  0.322  0.834  0.000
Cu  0.351  0.324  0.000
Ba  0.439  0.939  0.182
Cu  0.649  0.676  0.000
O  0.708  0.706  0.380
O  0.053  0.053  0.842
Cu  0.789  0.786  0.640
Ba  0.112  0.609  0.190
O  0.355  0.395  0.849
O  0.127  0.628  0.618
O  0.790  0.293  0.623

***

9.
A plane-wave DFT calculation with PBE-GGA was carried out for Rh4Se after structural relaxation.

Formation energy without anion corrections   0.383 eV/atom
Density of states at the Fermi level   8.61 states/eV per cell
Space group   I4/mmm
Crystal system   tetragonal
VASP energy   -6.195 eV per atom

Cell: 7.025 7.025 7.025 Å, 150.76 150.76 41.83°
Fractional coordinates of all 5 atoms:
Rh  0.600  0.600  0.000
Rh  0.750  0.250  0.500
Rh  0.400  0.400  0.000
Rh  0.250  0.750  0.500
Se  0.000  0.000  0.000

***

10.
A plane-wave DFT calculation with PBE-GGA was carried out for TiCrPt after structural relaxation.

Density of states at the Fermi level   5.84 states/eV per cell
E_form   -209 meV/atom
Space group   Cmcm
Crystal system   orthorhombic
VASP energy   -8.062 eV per atom

Cell: 4.027 2.655 8.261 Å, 80.75 90.00 90.00°
Fractional coordinates of all 6 atoms:
Pt  0.250  0.125  0.750
Ti  0.250  0.446  0.107
Cr  0.250  0.282  0.437
Pt  0.750  0.875  0.250
Cr  0.750  0.718  0.563
Ti  0.750  0.554  0.893

***

Q: Look up the VASP energy of the second one.
A: -5.271 eV per atom

***

Q: Look up the VASP energy of the first one.
A: -2.792 eV per atom

***

Q: Which of these has the highest density of states at the Fermi level?
A: AcCeCd3

***

Q: Among the records above, which one has the lowest VASP energy?
A: TiCrPt